1.
VASP calculation (GGA-PBE) on crystalline BaCdInRh at its relaxed geometry.

a b c (Å): 4.7783 4.7783 17.3819
angles (deg): 90.00 90.00 120.00
Fractional positions:
1 Ba 0.0000 0.0000 0.0000
2 Ba 0.3333 0.6667 0.6667
3 Ba 0.6667 0.3333 0.3333
4 Cd 0.0000 0.0000 0.8023
5 Cd 0.3333 0.6667 0.4690
6 Cd 0.6667 0.3333 0.1356
7 In 0.0000 0.0000 0.5296
8 In 0.3333 0.6667 0.1963
9 In 0.6667 0.3333 0.8630
10 Rh 0.0000 0.0000 0.1876
11 Rh 0.3333 0.6667 0.8543
12 Rh 0.6667 0.3333 0.5210

Computed properties:
Energy relative to the elements   -124 kJ/mol of formula units
D(E_F)   2.7 states/eV/f.u.
Calculated total energy   -3.55 eV per atom

***

2.
VASP calculation (GGA-PBE) on crystalline BaCd2InRh at its relaxed geometry.

a b c (Å): 5.2914 5.2914 5.1564
angles (deg): 90.00 90.00 90.00
Fractional positions:
1 Ba 0.0000 0.0000 0.0000
2 Cd 0.0000 0.5000 0.5000
3 Cd 0.5000 0.0000 0.5000
4 In 0.5000 0.5000 0.0000
5 Rh 0.5000 0.5000 0.5000

Computed properties:
Energy relative to the elements   -156 kJ/mol of formula units
D(E_F)   3.1 states/eV/f.u.
Calculated total energy   -3.09 eV per atom

***

3.
VASP calculation (GGA-PBE) on crystalline BaCdIn2Ru at its relaxed geometry.

a b c (Å): 5.1960 5.1960 5.3433
angles (deg): 90.00 90.00 90.00
Fractional positions:
1 Ba 0.0000 0.0000 0.0000
2 Cd 0.5000 0.5000 0.0000
3 In 0.0000 0.5000 0.5000
4 In 0.5000 0.0000 0.5000
5 Ru 0.5000 0.5000 0.5000

Computed properties:
Energy relative to the elements   -106 kJ/mol of formula units
D(E_F)   2.3 states/eV/f.u.
Calculated total energy   -3.74 eV per atom

***

4.
VASP calculation (GGA-PBE) on crystalline BaCd2InRu at its relaxed geometry.

a b c (Å): 5.3542 5.3542 5.4984
angles (deg): 90.00 90.00 90.00
Fractional positions:
1 Ba 0.0000 0.0000 0.0000
2 Cd 0.0000 0.5000 0.5000
3 Cd 0.5000 0.0000 0.5000
4 In 0.5000 0.5000 0.0000
5 Ru 0.0000 0.0000 0.5000

Computed properties:
Energy relative to the elements   137 kJ/mol of formula units
Excess energy over the best structure of this formula in the dataset   408 meV per atom
D(E_F)   4.1 states/eV/f.u.
Calculated total energy   -2.87 eV per atom

***

5.
VASP calculation (GGA-PBE) on crystalline BaCd2InRu at its relaxed geometry.

a b c (Å): 5.3056 5.3056 5.1690
angles (deg): 90.00 90.00 90.00
Fractional positions:
1 Ba 0.0000 0.0000 0.0000
2 Cd 0.0000 0.5000 0.5000
3 Cd 0.5000 0.0000 0.5000
4 In 0.5000 0.5000 0.0000
5 Ru 0.5000 0.5000 0.5000

Computed properties:
Energy relative to the elements   -59 kJ/mol of formula units
Excess energy over the best structure of this formula in the dataset   0 meV per atom
D(E_F)   2.5 states/eV/f.u.
Calculated total energy   -3.28 eV per atom

***

6.
VASP calculation (GGA-PBE) on crystalline BaCdInSb2 at its relaxed geometry.

a b c (Å): 7.0602 7.0602 9.9888
angles (deg): 99.61 99.61 45.37
Fractional positions:
1 Ba 0.1695 0.1695 0.2062
2 Ba 0.8305 0.8305 0.7938
3 Cd 0.4545 0.4545 0.2505
4 Cd 0.5455 0.5455 0.7495
5 In 0.1163 0.1163 0.5604
6 In 0.8837 0.8837 0.4396
7 Sb 0.1212 0.1212 0.8499
8 Sb 0.3529 0.3529 0.5459
9 Sb 0.6471 0.6471 0.4541
10 Sb 0.8788 0.8788 0.1501

Computed properties:
D(E_F)   1.2 states/eV/f.u.
ΔE_f (raw)   -0.414 eV per atom
Calculated total energy   -3.18 eV per atom

***

7.
VASP calculation (GGA-PBE) on crystalline Ba2CdIn2Sb4 at its relaxed geometry.

a b c (Å): 9.0093 9.0093 7.0729
angles (deg): 109.36 109.36 33.50
Fractional positions:
1 Ba 0.1316 0.1316 0.1012
2 Ba 0.8684 0.8684 0.8988
3 Cd 0.0000 0.0000 0.5000
4 In 0.3371 0.3371 0.5001
5 In 0.6629 0.6629 0.4999
6 Sb 0.2053 0.2053 0.7003
7 Sb 0.4923 0.4923 0.2328
8 Sb 0.5077 0.5077 0.7672
9 Sb 0.7947 0.7947 0.2997

Computed properties:
D(E_F)   1.2 states/eV/f.u.
ΔE_f (raw)   -0.497 eV per atom
Calculated total energy   -3.47 eV per atom

***

8.
VASP calculation (GGA-PBE) on crystalline Ba2CdInSe at its relaxed geometry.

a b c (Å): 6.5443 6.5443 5.1666
angles (deg): 90.00 90.00 90.00
Fractional positions:
1 Ba 0.0000 0.5000 0.0000
2 Ba 0.5000 0.0000 0.0000
3 Cd 0.0000 0.0000 0.5000
4 In 0.0000 0.0000 0.0000
5 Se 0.5000 0.5000 0.5000

Computed properties:
D(E_F)   2.3 states/eV/f.u.
ΔE_f (raw)   -0.367 eV per atom
Calculated total energy   -2.56 eV per atom

***

9.
VASP calculation (GGA-PBE) on crystalline Ba2Cd3In4Si at its relaxed geometry.

a b c (Å): 4.9149 4.9149 12.0388
angles (deg): 90.00 90.00 90.00
Fractional positions:
1 Ba 0.0000 0.5000 0.2374
2 Ba 0.5000 0.0000 0.7626
3 Cd 0.0000 0.0000 0.0000
4 Cd 0.0000 0.5000 0.6399
5 Cd 0.5000 0.0000 0.3601
6 In 0.0000 0.0000 0.5000
7 In 0.0000 0.5000 0.8763
8 In 0.5000 0.0000 0.1237
9 In 0.5000 0.5000 0.5000
10 Si 0.5000 0.5000 0.0000

Computed properties:
D(E_F)   4.3 states/eV/f.u.
ΔE_f (raw)   -0.276 eV per atom
Calculated total energy   -2.57 eV per atom

***

10.
VASP calculation (GGA-PBE) on crystalline Ba2Cd6InSn at its relaxed geometry.

a b c (Å): 7.9660 7.9660 7.9660
angles (deg): 60.00 60.00 60.00
Fractional positions:
1 Ba 0.2500 0.2500 0.2500
2 Ba 0.7500 0.7500 0.7500
3 Cd 0.2485 0.2485 0.7515
4 Cd 0.2485 0.7515 0.2485
5 Cd 0.2485 0.7515 0.7515
6 Cd 0.7515 0.2485 0.2485
7 Cd 0.7515 0.2485 0.7515
8 Cd 0.7515 0.7515 0.2485
9 In 0.0000 0.0000 0.0000
10 Sn 0.5000 0.5000 0.5000

Computed properties:
Energy relative to the elements   10 kJ/mol of formula units
D(E_F)   8.0 states/eV/f.u.
Calculated total energy   -1.60 eV per atom